VASP calculation (GGA-PBE) on Ce2ZrUAs4 after structural relaxation.

a b c (Å): 7.087 4.073 7.097
angles (deg): 90.00 109.06 90.00
Space group P2/m (No. 10)
Symmetry-distinct sites (fractional):
1 Ce 0.000 0.000 0.000 [1 per cell]
2 Ce 0.500 0.500 0.000 [1 per cell]
3 Zr 0.000 0.500 0.500 [1 per cell]
4 U 0.500 0.000 0.500 [1 per cell]
5 As 0.239 0.000 0.733 [2 per cell]
6 As 0.248 0.500 0.263 [2 per cell]

Volume in Å³ per cell: 193.6
Formation energy in eV per atom: -1.183
Total energy in eV per atom: -7.470